CrO | PBE+U | relaxed

a b c (Å): 3.546 11.193 11.114
angles (deg): 90.00 90.00 90.00
Fractional coordinates of all 32 atoms:
Cr1 0.000 0.000 0.367
Cr2 0.000 0.000 0.633
Cr3 0.250 0.750 0.883
Cr4 0.250 0.750 0.617
Cr5 0.000 0.500 0.867
Cr6 0.000 0.500 0.133
Cr7 0.250 0.250 0.383
Cr8 0.250 0.250 0.117
Cr9 0.500 0.000 0.867
Cr10 0.500 0.000 0.133
Cr11 0.750 0.750 0.383
Cr12 0.750 0.750 0.117
Cr13 0.500 0.500 0.367
Cr14 0.500 0.500 0.633
Cr15 0.750 0.250 0.883
Cr16 0.750 0.250 0.617
O1 0.000 0.371 0.000
O2 0.000 0.629 0.000
O3 0.250 0.379 0.250
O4 0.250 0.121 0.250
O5 0.000 0.871 0.500
O6 0.000 0.129 0.500
O7 0.250 0.879 0.750
O8 0.250 0.621 0.750
O9 0.500 0.371 0.500
O10 0.500 0.629 0.500
O11 0.750 0.379 0.750
O12 0.750 0.121 0.750
O13 0.500 0.871 0.000
O14 0.500 0.129 0.000
O15 0.750 0.879 0.250
O16 0.750 0.621 0.250

Calculated values
- Mass density: 4095 kg/m³
- E_tot: -7.666 eV per atom